LiLaReS2 | Alexandria | PBE | optimized geometry; N(E_F) = 3.702 states/eV/cell; uncorrected formation energy = 10 meV/atom; crystal system = tetragonal
1.0
-0.670 -4.763 -0.341
1.527 0.136 -4.898
4.555 -0.741 1.399
S Re La Li
2 1 1 1
direct
0.500 0.000 0.000 S
0.000 0.000 0.500 S
0.000 0.000 0.000 Re
0.000 0.500 0.000 La
0.500 0.500 0.500 Li